[1]
Below is Ba2ZnTc after structural relaxation, with properties calculated at the PBE level.

Structure (CIF):
```
data_Ba2ZnTc
_chemical_formula_sum 'Ba2 Zn1 Tc1'
_cell_length_a 3.6657
_cell_length_b 3.6657
_cell_length_c 9.2854
_cell_angle_alpha 90.00
_cell_angle_beta 90.00
_cell_angle_gamma 90.00
_symmetry_space_group_name_H-M 'P 4 m m'
_symmetry_Int_Tables_number 99
_symmetry_space_group_name_Hall 'P 4 -2'
loop_
_atom_site_label
_atom_site_fract_x
_atom_site_fract_y
_atom_site_fract_z
Ba1 0.0000 0.0000 0.0000
Ba2 0.5000 0.5000 0.4329
Zn1 0.5000 0.5000 0.7580
Tc1 0.0000 0.0000 0.6891
```

Properties
Calculated formation energy in meV/atom: 388

[2]
Below is UP3Ru2 after structural relaxation, with properties calculated at the PBE level.

Structure (CIF):
```
data_UP3Ru2
_chemical_formula_sum 'U2 P6 Ru4'
_cell_length_a 3.6318
_cell_length_b 8.8484
_cell_length_c 6.0550
_cell_angle_alpha 90.00
_cell_angle_beta 90.00
_cell_angle_gamma 90.00
_symmetry_space_group_name_H-M 'P m c 21'
_symmetry_Int_Tables_number 26
_symmetry_space_group_name_Hall 'P 2c -2'
loop_
_atom_site_label
_atom_site_fract_x
_atom_site_fract_y
_atom_site_fract_z
U1 0.0000 0.1331 0.0000
P1 0.0000 0.4116 0.8020
P2 0.5000 0.0862 0.6494
P3 0.5000 0.2767 0.2724
Ru1 0.0000 0.2412 0.5204
Ru2 0.5000 0.4937 0.0070
```

Properties
Calculated formation energy in meV/atom: -649

[3]
Below is ScVZn3 after structural relaxation, with properties calculated at the PBE level.

Structure (CIF):
```
data_ScVZn3
_chemical_formula_sum 'Sc1 V1 Zn3'
_cell_length_a 5.0227
_cell_length_b 5.0227
_cell_length_c 5.0227
_cell_angle_alpha 90.00
_cell_angle_beta 90.00
_cell_angle_gamma 90.00
_symmetry_space_group_name_H-M 'P m -3 m'
_symmetry_Int_Tables_number 221
_symmetry_space_group_name_Hall '-P 4 2 3'
loop_
_atom_site_label
_atom_site_fract_x
_atom_site_fract_y
_atom_site_fract_z
Sc1 0.0000 0.0000 0.0000
V1 0.5000 0.5000 0.5000
Zn1 0.0000 0.0000 0.5000
```

Properties
Energy above the lowest structure with this stoichiometry in eV/f.u.: 3.23
Calculated formation energy in meV/atom: 1190

[4]
Below is BaCuP2 after structural relaxation, with properties calculated at the PBE level.

Structure (CIF):
```
data_BaCuP2
_chemical_formula_sum 'Ba4 Cu4 P8'
_cell_length_a 4.9768
_cell_length_b 4.9768
_cell_length_c 15.5362
_cell_angle_alpha 90.00
_cell_angle_beta 90.00
_cell_angle_gamma 90.00
_symmetry_space_group_name_H-M 'I 41/a m d'
_symmetry_Int_Tables_number 141
loop_
_symmetry_equiv_pos_as_xyz
'x,y,z'
'-x,-y,-z'
'-y+1/4,x+3/4,z+1/4'
'y+1/4,-x+3/4,-z+1/4'
'-x+1/2,-y,z+1/2'
'x+1/2,y,-z+1/2'
'y+1/4,-x+1/4,z+3/4'
'-y+1/4,x+1/4,-z+3/4'
'x,-y,-z'
'-x,y,z'
'-y+1/4,-x+1/4,-z+3/4'
'y+1/4,x+1/4,z+3/4'
'-x+1/2,y,-z+1/2'
'x+1/2,-y,z+1/2'
'y+1/4,x+3/4,-z+1/4'
'-y+1/4,-x+3/4,z+1/4'
'x+1/2,y+1/2,z+1/2'
'-x+1/2,-y+1/2,-z+1/2'
'-y+3/4,x+1/4,z+3/4'
'y+3/4,-x+1/4,-z+3/4'
'-x,-y+1/2,z'
'x,y+1/2,-z'
'y+3/4,-x+3/4,z+1/4'
'-y+3/4,x+3/4,-z+1/4'
'x+1/2,-y+1/2,-z+1/2'
'-x+1/2,y+1/2,z+1/2'
'-y+3/4,-x+3/4,-z+1/4'
'y+3/4,x+3/4,z+1/4'
'-x,y+1/2,-z'
'x,-y+1/2,z'
'y+3/4,x+1/4,-z+3/4'
'-y+3/4,-x+1/4,z+3/4'
loop_
_atom_site_label
_atom_site_fract_x
_atom_site_fract_y
_atom_site_fract_z
Ba1 0.0000 0.2500 0.3750
Cu1 0.0000 0.2500 0.8750
P1 0.0000 0.0000 0.0000
```

Properties
Calculated formation energy in meV/atom: -496

[5]
Below is AcTbTe3Pd after structural relaxation, with properties calculated at the PBE level.

Structure (CIF):
```
data_AcTbTe3Pd
_chemical_formula_sum 'Ac2 Tb2 Te6 Pd2'
_cell_length_a 8.6166
_cell_length_b 4.4000
_cell_length_c 10.0910
_cell_angle_alpha 90.00
_cell_angle_beta 102.12
_cell_angle_gamma 90.00
_symmetry_space_group_name_H-M 'P 1 21/m 1'
_symmetry_Int_Tables_number 11
_symmetry_space_group_name_Hall '-P 2yb'
loop_
_atom_site_label
_atom_site_fract_x
_atom_site_fract_y
_atom_site_fract_z
Ac1 0.1830 0.2500 0.2789
Tb1 0.3214 0.7500 0.8259
Te1 0.0895 0.2500 0.8720
Te2 0.2553 0.7500 0.5259
Te3 0.4176 0.7500 0.1510
Pd1 0.0828 0.2500 0.5978
```

Properties
Uncorrected formation energy in eV/atom: -1.310

[6]
Below is Tm7Mg2Sn2 after structural relaxation, with properties calculated at the PBE level.

Structure (CIF):
```
data_Tm7Mg2Sn2
_chemical_formula_sum 'Tm14 Mg4 Sn4'
_cell_length_a 6.8590
_cell_length_b 11.1443
_cell_length_c 8.6170
_cell_angle_alpha 90.00
_cell_angle_beta 90.00
_cell_angle_gamma 90.00
_symmetry_space_group_name_H-M 'C m m m'
_symmetry_Int_Tables_number 65
_symmetry_space_group_name_Hall '-C 2 2'
loop_
_atom_site_label
_atom_site_fract_x
_atom_site_fract_y
_atom_site_fract_z
Tm1 0.0000 0.0000 0.0000
Tm2 0.0000 0.5000 0.2129
Tm3 0.2500 0.2500 0.3048
Mg1 0.0000 0.2756 0.0000
Sn1 0.2169 0.0000 0.5000
```

Properties
Calculated formation energy in meV/atom: 85

[7]
Below is MgCoHg4 after structural relaxation, with properties calculated at the PBE level.

Structure (CIF):
```
data_MgCoHg4
_chemical_formula_sum 'Mg4 Co4 Hg16'
_cell_length_a 8.1409
_cell_length_b 8.1409
_cell_length_c 8.1409
_cell_angle_alpha 90.00
_cell_angle_beta 90.00
_cell_angle_gamma 90.00
_symmetry_space_group_name_H-M 'F -4 3 m'
_symmetry_Int_Tables_number 216
_symmetry_space_group_name_Hall 'F -4 2 3'
loop_
_atom_site_label
_atom_site_fract_x
_atom_site_fract_y
_atom_site_fract_z
Mg1 0.0000 0.0000 0.0000
Co1 0.2500 0.2500 0.7500
Hg1 0.1247 0.1247 0.3753
```

Properties
Calculated formation energy in meV/atom: 542

[8]
Below is NpCu4Os after structural relaxation, with properties calculated at the PBE level.

Structure (CIF):
```
data_NpCu4Os
_chemical_formula_sum 'Np4 Cu16 Os4'
_cell_length_a 7.0080
_cell_length_b 7.0080
_cell_length_c 7.0080
_cell_angle_alpha 90.00
_cell_angle_beta 90.00
_cell_angle_gamma 90.00
_symmetry_space_group_name_H-M 'F -4 3 m'
_symmetry_Int_Tables_number 216
_symmetry_space_group_name_Hall 'F -4 2 3'
loop_
_atom_site_label
_atom_site_fract_x
_atom_site_fract_y
_atom_site_fract_z
Np1 0.0000 0.0000 0.0000
Cu1 0.1241 0.1241 0.6241
Os1 0.2500 0.2500 0.2500
```

Properties
Calculated formation energy in meV/atom: 223

[9]
Below is Si2SbMo after structural relaxation, with properties calculated at the PBE level.

Structure (CIF):
```
data_Si2SbMo
_chemical_formula_sum 'Si2 Sb1 Mo1'
_cell_length_a 3.2080
_cell_length_b 3.2080
_cell_length_c 7.4078
_cell_angle_alpha 90.00
_cell_angle_beta 90.00
_cell_angle_gamma 90.00
_symmetry_space_group_name_H-M 'P 4 m m'
_symmetry_Int_Tables_number 99
_symmetry_space_group_name_Hall 'P 4 -2'
loop_
_atom_site_label
_atom_site_fract_x
_atom_site_fract_y
_atom_site_fract_z
Si1 0.0000 0.0000 0.0000
Si2 0.5000 0.5000 0.1772
Sb1 0.5000 0.5000 0.5992
Mo1 0.0000 0.0000 0.3407
```

Properties
Uncorrected formation energy in eV/atom: 0.195

[10]
Below is Hf4Pd5Rh4 after structural relaxation, with properties calculated at the PBE level.

Structure (CIF):
```
data_Hf4Pd5Rh4
_chemical_formula_sum 'Hf8 Pd10 Rh8'
_cell_length_a 10.2261
_cell_length_b 10.2261
_cell_length_c 4.1026
_cell_angle_alpha 90.00
_cell_angle_beta 90.00
_cell_angle_gamma 90.00
_symmetry_space_group_name_H-M 'I 4/m'
_symmetry_Int_Tables_number 87
_symmetry_space_group_name_Hall '-I 4'
loop_
_atom_site_label
_atom_site_fract_x
_atom_site_fract_y
_atom_site_fract_z
Hf1 0.1279 0.2388 0.0000
Pd1 0.0000 0.0000 0.0000
Pd2 0.0563 0.8126 0.5000
Rh1 0.0938 0.6167 0.0000
```

Properties
Calculated formation energy in meV/atom: -745

[11]
Below is La2Pm6Nd3Sm after structural relaxation, with properties calculated at the PBE level.

Structure (CIF):
```
data_La2Pm6Nd3Sm
_chemical_formula_sum 'La4 Pm12 Nd6 Sm2'
_cell_length_a 6.3716
_cell_length_b 11.0368
_cell_length_c 12.1724
_cell_angle_alpha 90.00
_cell_angle_beta 100.10
_cell_angle_gamma 90.00
_symmetry_space_group_name_H-M 'C 1 2/m 1'
_symmetry_Int_Tables_number 12
_symmetry_space_group_name_Hall '-C 2y'
loop_
_atom_site_label
_atom_site_fract_x
_atom_site_fract_y
_atom_site_fract_z
La1 0.0000 0.1667 0.0000
Pm1 0.2491 0.5000 0.7489
Pm2 0.2499 0.1663 0.7490
Nd1 0.0000 0.0000 0.5000
Nd2 0.0000 0.3336 0.5000
Sm1 0.0000 0.5000 0.0000
```

Properties
Calculated formation energy in meV/atom: 15

[12]
Below is BaTi3Cd after structural relaxation, with properties calculated at the PBE level.

Structure (CIF):
```
data_BaTi3Cd
_chemical_formula_sum 'Ba1 Ti3 Cd1'
_cell_length_a 5.2813
_cell_length_b 5.2813
_cell_length_c 5.2813
_cell_angle_alpha 90.00
_cell_angle_beta 90.00
_cell_angle_gamma 90.00
_symmetry_space_group_name_H-M 'P m -3 m'
_symmetry_Int_Tables_number 221
_symmetry_space_group_name_Hall '-P 4 2 3'
loop_
_atom_site_label
_atom_site_fract_x
_atom_site_fract_y
_atom_site_fract_z
Ba1 0.0000 0.0000 0.0000
Ti1 0.0000 0.5000 0.5000
Cd1 0.5000 0.5000 0.5000
```

Properties
Energy above the lowest structure with this stoichiometry in eV/f.u.: 0.00
Calculated formation energy in meV/atom: 1055

[13]
Below is Ca4SmAg5 after structural relaxation, with properties calculated at the PBE level.

Structure (CIF):
```
data_Ca4SmAg5
_chemical_formula_sum 'Ca4 Sm1 Ag5'
_cell_length_a 3.7327
_cell_length_b 3.7327
_cell_length_c 18.4095
_cell_angle_alpha 90.00
_cell_angle_beta 90.00
_cell_angle_gamma 90.00
_symmetry_space_group_name_H-M 'P 4/m m m'
_symmetry_Int_Tables_number 123
_symmetry_space_group_name_Hall '-P 4 2'
loop_
_atom_site_label
_atom_site_fract_x
_atom_site_fract_y
_atom_site_fract_z
Ca1 0.0000 0.0000 0.0992
Ca2 0.0000 0.0000 0.3000
Sm1 0.0000 0.0000 0.5000
Ag1 0.5000 0.5000 0.0000
Ag2 0.5000 0.5000 0.1985
Ag3 0.5000 0.5000 0.4046
```

Properties
Calculated formation energy in meV/atom: -308

[14]
Below is PmDyHoLu after structural relaxation, with properties calculated at the PBE level.

Structure (CIF):
```
data_PmDyHoLu
_chemical_formula_sum 'Pm4 Dy4 Ho4 Lu4'
_cell_length_a 7.9880
_cell_length_b 7.9880
_cell_length_c 7.9880
_cell_angle_alpha 90.00
_cell_angle_beta 90.00
_cell_angle_gamma 90.00
_symmetry_space_group_name_H-M 'F -4 3 m'
_symmetry_Int_Tables_number 216
_symmetry_space_group_name_Hall 'F -4 2 3'
loop_
_atom_site_label
_atom_site_fract_x
_atom_site_fract_y
_atom_site_fract_z
Pm1 0.0000 0.0000 0.0000
Dy1 0.0000 0.0000 0.5000
Ho1 0.2500 0.2500 0.2500
Lu1 0.2500 0.2500 0.7500
```

Properties
Calculated formation energy in meV/atom: 118

[15]
Below is Sb2POs after structural relaxation, with properties calculated at the PBE level.

Structure (CIF):
```
data_Sb2POs
_chemical_formula_sum 'Sb4 P2 Os2'
_cell_length_a 3.2896
_cell_length_b 3.6528
_cell_length_c 14.9411
_cell_angle_alpha 90.00
_cell_angle_beta 90.00
_cell_angle_gamma 90.00
_symmetry_space_group_name_H-M 'I m m m'
_symmetry_Int_Tables_number 71
_symmetry_space_group_name_Hall '-I 2 2'
loop_
_atom_site_label
_atom_site_fract_x
_atom_site_fract_y
_atom_site_fract_z
Sb1 0.0000 0.0000 0.1486
P1 0.0000 0.5000 0.5000
Os1 0.0000 0.5000 0.0000
```

Properties
Uncorrected formation energy in eV/atom: 0.320

[16]
Below is PaRu2 after structural relaxation, with properties calculated at the PBE level.

Structure (CIF):
```
data_PaRu2
_chemical_formula_sum 'Pa4 Ru8'
_cell_length_a 4.0687
_cell_length_b 13.1741
_cell_length_c 3.9778
_cell_angle_alpha 90.00
_cell_angle_beta 90.00
_cell_angle_gamma 90.00
_symmetry_space_group_name_H-M 'C m m m'
_symmetry_Int_Tables_number 65
_symmetry_space_group_name_Hall '-C 2 2'
loop_
_atom_site_label
_atom_site_fract_x
_atom_site_fract_y
_atom_site_fract_z
Pa1 0.0000 0.1466 0.0000
Ru1 0.0000 0.0000 0.5000
Ru2 0.0000 0.3368 0.5000
Ru3 0.0000 0.5000 0.0000
```

Properties
Energy above the lowest structure with this stoichiometry in eV/f.u.: 0.00
Calculated formation energy in meV/atom: -430

[17]
Below is Mn3Cu5 after structural relaxation, with properties calculated at the PBE level.

Structure (CIF):
```
data_Mn3Cu5
_chemical_formula_sum 'Mn6 Cu10'
_cell_length_a 5.3969
_cell_length_b 4.7322
_cell_length_c 8.6530
_cell_angle_alpha 90.00
_cell_angle_beta 103.34
_cell_angle_gamma 90.00
_symmetry_space_group_name_H-M 'P 1 21/m 1'
_symmetry_Int_Tables_number 11
_symmetry_space_group_name_Hall '-P 2yb'
loop_
_atom_site_label
_atom_site_fract_x
_atom_site_fract_y
_atom_site_fract_z
Mn1 0.0644 0.2500 0.4846
Mn2 0.3580 0.2500 0.0041
Mn3 0.3995 0.7500 0.4545
Cu1 0.0596 0.7500 0.2109
Cu2 0.1250 0.7500 0.9368
Cu3 0.2742 0.2500 0.2740
Cu4 0.3256 0.5014 0.7304
```

Properties
Calculated formation energy in meV/atom: 306

[18]
Below is Ce8NiOs2 after structural relaxation, with properties calculated at the PBE level.

Structure (CIF):
```
data_Ce8NiOs2
_chemical_formula_sum 'Ce16 Ni2 Os4'
_cell_length_a 17.6841
_cell_length_b 4.5043
_cell_length_c 6.5753
_cell_angle_alpha 90.00
_cell_angle_beta 101.65
_cell_angle_gamma 90.00
_symmetry_space_group_name_H-M 'C 1 2/m 1'
_symmetry_Int_Tables_number 12
_symmetry_space_group_name_Hall '-C 2y'
loop_
_atom_site_label
_atom_site_fract_x
_atom_site_fract_y
_atom_site_fract_z
Ce1 0.0022 0.0000 0.2533
Ce2 0.0903 0.5000 0.9527
Ce3 0.1608 0.5000 0.4766
Ce4 0.2184 0.0000 0.7695
Ni1 0.0000 0.5000 0.5000
Os1 0.1643 0.0000 0.1755
```

Properties
Energy above the lowest structure with this stoichiometry in eV/f.u.: 0.00
Calculated formation energy in meV/atom: -134

[19]
Below is BaNaBe3 after structural relaxation, with properties calculated at the PBE level.

Structure (CIF):
```
data_BaNaBe3
_chemical_formula_sum 'Ba1 Na1 Be3'
_cell_length_a 5.7502
_cell_length_b 5.7502
_cell_length_c 5.7502
_cell_angle_alpha 90.00
_cell_angle_beta 90.00
_cell_angle_gamma 90.00
_symmetry_space_group_name_H-M 'P m -3 m'
_symmetry_Int_Tables_number 221
_symmetry_space_group_name_Hall '-P 4 2 3'
loop_
_atom_site_label
_atom_site_fract_x
_atom_site_fract_y
_atom_site_fract_z
Ba1 0.0000 0.0000 0.0000
Na1 0.5000 0.5000 0.5000
Be1 0.0000 0.0000 0.5000
```

Properties
Energy above the lowest structure with this stoichiometry in eV/f.u.: 2.74
Calculated formation energy in meV/atom: 1788

[20]
Below is CaGa2B after structural relaxation, with properties calculated at the PBE level.

Structure (CIF):
```
data_CaGa2B
_chemical_formula_sum 'Ca4 Ga8 B4'
_cell_length_a 4.7845
_cell_length_b 4.7845
_cell_length_c 14.4913
_cell_angle_alpha 90.00
_cell_angle_beta 90.00
_cell_angle_gamma 90.00
_symmetry_space_group_name_H-M 'I 41/a m d'
_symmetry_Int_Tables_number 141
loop_
_symmetry_equiv_pos_as_xyz
'x,y,z'
'-x,-y,-z'
'-y+1/4,x+3/4,z+1/4'
'y+1/4,-x+3/4,-z+1/4'
'-x+1/2,-y,z+1/2'
'x+1/2,y,-z+1/2'
'y+1/4,-x+1/4,z+3/4'
'-y+1/4,x+1/4,-z+3/4'
'x,-y,-z'
'-x,y,z'
'-y+1/4,-x+1/4,-z+3/4'
'y+1/4,x+1/4,z+3/4'
'-x+1/2,y,-z+1/2'
'x+1/2,-y,z+1/2'
'y+1/4,x+3/4,-z+1/4'
'-y+1/4,-x+3/4,z+1/4'
'x+1/2,y+1/2,z+1/2'
'-x+1/2,-y+1/2,-z+1/2'
'-y+3/4,x+1/4,z+3/4'
'y+3/4,-x+1/4,-z+3/4'
'-x,-y+1/2,z'
'x,y+1/2,-z'
'y+3/4,-x+3/4,z+1/4'
'-y+3/4,x+3/4,-z+1/4'
'x+1/2,-y+1/2,-z+1/2'
'-x+1/2,y+1/2,z+1/2'
'-y+3/4,-x+3/4,-z+1/4'
'y+3/4,x+3/4,z+1/4'
'-x,y+1/2,-z'
'x,-y+1/2,z'
'y+3/4,x+1/4,-z+3/4'
'-y+3/4,-x+1/4,z+3/4'
loop_
_atom_site_label
_atom_site_fract_x
_atom_site_fract_y
_atom_site_fract_z
Ca1 0.0000 0.2500 0.3750
Ga1 0.0000 0.0000 0.0000
B1 0.0000 0.2500 0.8750
```

Properties
Calculated formation energy in meV/atom: 211